[1]
Material: FeCuB3
Method: DFT, PBE
State: relaxed

Summary:
- relative energy among the computed polymorphs (eV/atom) = 0.000

Cell lengths 3.732, 3.732, 3.732 Å; angles 90.00, 90.00, 90.00 degrees
Fractional positions:
Cu: 0.500 0.500 0.500
Fe: 0.000 0.000 0.000
B: 0.000 0.500 0.000
B: 0.500 0.000 0.000
B: 0.000 0.000 0.500

---

[2]
Material: FeCu2B
Method: DFT, PBE
State: relaxed

Cell lengths 3.212, 3.212, 8.884 Å; angles 79.58, 79.58, 90.00 degrees
Each line ends with the local moment (μB).
Fractional positions:
Fe: 0.000 0.000 0.000  2.25
Fe: 0.750 0.250 0.500  2.24
Cu: 0.133 0.625 0.250  0.02
Cu: 0.617 0.125 0.250  0.02
Cu: 0.375 0.383 0.750  0.01
Cu: 0.875 0.867 0.750  0.01
B: 0.500 0.500 0.000  -0.11
B: 0.250 0.750 0.500  -0.10

---

[3]
Material: Fe3CuB
Method: DFT, PBE
State: relaxed

Summary:
- relative energy among the computed polymorphs (eV/atom) = 1.667

Cell lengths 4.300, 4.300, 4.300 Å; angles 90.00, 90.00, 90.00 degrees
Each line ends with the local moment (μB).
Fractional positions:
Fe: 0.000 0.000 0.500  3.51
Fe: 0.000 0.500 0.000  3.00
Fe: 0.500 0.000 0.000  2.45
B: 0.500 0.500 0.500  -0.10
Cu: 0.000 0.000 0.000  0.26

---

| no. | DOS at the Fermi energy (states/eV per cell) | electronic total energy (eV per atom) | energy of formation (kJ/mol of formula units) |
| --- | --- | --- | --- |
| 1 | 0.435 | -5.66 | 412.2 |
| 2 | 4.653 | -5.26 | 220.2 |
| 3 | 5.975 | -5.39 | 887.6 |